This record from Alexandria describes crystalline NaCa3Y2Te6 at its relaxed geometry. The functional is GGA-PBE.

Output
- formation energy without anion corrections (eV/atom) = -1.474
- space-group type = No. 12
- DFT total energy (eV/atom) = -4.733
- spin magnetization (μB/f.u.) = 0.0

Cell lengths 7.738, 7.738, 7.729 Å; angles 99.63, 99.63, 119.95 degrees
Positions (direct):
Na 0.000 0.000 0.000
Ca 0.164 0.836 0.500
Ca 0.500 0.500 0.500
Ca 0.836 0.164 0.500
Y 0.333 0.667 0.000
Y 0.667 0.333 0.000
Te 0.082 0.422 0.245
Te 0.259 0.259 0.756
Te 0.422 0.082 0.245
Te 0.578 0.918 0.755
Te 0.741 0.741 0.244
Te 0.918 0.578 0.755